Entry 1:
VASP calculation (PBE) on crystalline Ti3TcMo at its relaxed geometry.

Results
spin magnetization	1.01	μB per formula unit
energy relative to the elements	850	meV per atom
E_tot	-8.127	eV/atom
excess energy over the best structure of this formula in the dataset	1083.0	meV per atom
crystal system	cubic

abc: 4.6123 4.6123 4.6123
angles: 90.00 90.00 90.00
Space group Pm-3m (No. 221)
Symmetry-distinct sites (fractional):
Ti: 0.0000 0.0000 0.5000
Tc: 0.0000 0.0000 0.0000
Mo: 0.5000 0.5000 0.5000

=====

Entry 2:
VASP calculation (PBE) on crystalline Ti3Tc2Mo at its relaxed geometry.

Results
spin magnetization	0.00	μB per formula unit
energy relative to the elements	-347	meV per atom
E_tot	-9.555	eV/atom
crystal system	tetragonal

abc: 3.1204 3.1204 9.3920
angles: 90.00 90.00 90.00
Space group P4/mmm (No. 123)
Symmetry-distinct sites (fractional):
Ti: 0.0000 0.0000 0.0000
Ti: 0.0000 0.0000 0.3264
Tc: 0.5000 0.5000 0.1656
Mo: 0.5000 0.5000 0.5000

=====

Entry 3:
VASP calculation (PBE) on crystalline Ti2Tc2Mo at its relaxed geometry.

Results
spin magnetization	0.00	μB per formula unit
energy relative to the elements	89	meV per atom
E_tot	-9.381	eV/atom
excess energy over the best structure of this formula in the dataset	442.2	meV per atom
crystal system	tetragonal

abc: 7.1146 7.1146 3.1466
angles: 90.00 90.00 90.00
Space group P4/mbm (No. 127)
Symmetry-distinct sites (fractional):
Ti: 0.1560 0.3440 0.0000
Tc: 0.1486 0.6486 0.5000
Mo: 0.0000 0.0000 0.5000

=====

Entry 4:
VASP calculation (PBE) on crystalline TiTc2Mo4 at its relaxed geometry.

Results
spin magnetization	0.84	μB per formula unit
energy relative to the elements	1622	meV per atom
E_tot	-8.657	eV/atom
crystal system	tetragonal

abc: 6.2151 6.2151 8.0287
angles: 90.00 90.00 90.00
Space group I4/mmm (No. 139)
Symmetry-distinct sites (fractional):
Ti: 0.0000 0.0000 0.0000
Tc: 0.0000 0.5000 0.2500
Mo: 0.0000 0.2802 0.5000

=====

Entry 5:
VASP calculation (PBE) on crystalline Ti4TcMo at its relaxed geometry.

Results
spin magnetization	0.00	μB per formula unit
energy relative to the elements	274	meV per atom
E_tot	-8.522	eV/atom
crystal system	monoclinic

abc: 7.4125 4.2901 7.4326
angles: 90.00 109.52 90.00
Space group C2/m (No. 12)
Symmetry-distinct sites (fractional):
Ti: 0.1241 0.0000 0.3725
Ti: 0.1257 0.5000 0.8773
Tc: 0.0000 0.0000 0.0000
Mo: 0.0000 0.5000 0.5000

=====

Entry 6:
VASP calculation (PBE) on crystalline TiTcMo3 at its relaxed geometry.

Results
spin magnetization	0.00	μB per formula unit
energy relative to the elements	1426	meV per atom
E_tot	-8.725	eV/atom
excess energy over the best structure of this formula in the dataset	1102.1	meV per atom
crystal system	cubic

abc: 4.6666 4.6666 4.6666
angles: 90.00 90.00 90.00
Space group Pm-3m (No. 221)
Symmetry-distinct sites (fractional):
Ti: 0.0000 0.0000 0.0000
Tc: 0.5000 0.5000 0.5000
Mo: 0.0000 0.5000 0.5000

=====

Entry 7:
VASP calculation (PBE) on crystalline TiTcMo at its relaxed geometry.

Results
spin magnetization	0.00	μB per formula unit
energy relative to the elements	-382	meV per atom
E_tot	-10.079	eV/atom
excess energy over the best structure of this formula in the dataset	0.0	meV per atom
crystal system	orthorhombic

abc: 3.1253 13.5179 4.3575
angles: 90.00 90.00 90.00
Space group Cmcm (No. 63)
Symmetry-distinct sites (fractional):
Ti: 0.0000 0.0796 0.2500
Tc: 0.0000 0.4144 0.2500
Mo: 0.0000 0.2453 0.7500

=====

Entry 8:
VASP calculation (PBE) on crystalline TiTc3Mo2 at its relaxed geometry.

Results
spin magnetization	0.00	μB per formula unit
energy relative to the elements	-202	meV per atom
E_tot	-10.311	eV/atom
excess energy over the best structure of this formula in the dataset	0.0	meV per atom
crystal system	orthorhombic

abc: 4.4059 13.2607 3.1125
angles: 90.00 90.00 90.00
Space group Cmmm (No. 65)
Symmetry-distinct sites (fractional):
Ti: 0.0000 0.0000 0.0000
Tc: 0.0000 0.1665 0.5000
Tc: 0.0000 0.5000 0.5000
Mo: 0.0000 0.3335 0.0000

=====

Entry 9:
VASP calculation (PBE) on crystalline TiTcMo2 at its relaxed geometry.

Results
spin magnetization	0.00	μB per formula unit
energy relative to the elements	-156	meV per atom
E_tot	-10.137	eV/atom
excess energy over the best structure of this formula in the dataset	98.8	meV per atom
crystal system	tetragonal

abc: 4.4365 4.4365 3.1332
angles: 90.00 90.00 90.00
Space group P4/mmm (No. 123)
Symmetry-distinct sites (fractional):
Ti: 0.0000 0.0000 0.0000
Tc: 0.5000 0.5000 0.0000
Mo: 0.0000 0.5000 0.5000

=====

Entry 10:
VASP calculation (PBE) on crystalline TiTcMo3 at its relaxed geometry.

Results
spin magnetization	0.00	μB per formula unit
energy relative to the elements	324	meV per atom
E_tot	-9.827	eV/atom
excess energy over the best structure of this formula in the dataset	0.0	meV per atom
crystal system	monoclinic

abc: 7.1361 5.7370 4.6968
angles: 90.00 119.57 90.00
Space group Cm (No. 8)
Symmetry-distinct sites (fractional):
Ti: 0.0000 0.0000 0.0000
Tc: 0.2993 0.0000 0.8393
Mo: 0.0066 0.2778 0.5128
Mo: 0.1989 0.5000 0.1807

=====

Entry 11:
VASP calculation (PBE) on crystalline TiTcMo2 at its relaxed geometry.

Results
spin magnetization	0.00	μB per formula unit
energy relative to the elements	514	meV per atom
E_tot	-9.467	eV/atom
excess energy over the best structure of this formula in the dataset	769.6	meV per atom
crystal system	tetragonal

abc: 7.1715 7.1715 5.2351
angles: 90.00 90.00 90.00
Space group I-42d (No. 122)
Symmetry-distinct sites (fractional):
Ti: 0.0000 0.0000 0.0000
Tc: 0.0000 0.0000 0.5000
Mo: 0.2293 0.2500 0.6250

=====

Entry 12:
VASP calculation (PBE) on crystalline Ti5TcMo2 at its relaxed geometry.

Results
spin magnetization	0.00	μB per formula unit
energy relative to the elements	-191	meV per atom
E_tot	-9.129	eV/atom
crystal system	orthorhombic

abc: 5.4933 10.5796 4.4316
angles: 90.00 90.00 90.00
Space group Pbam (No. 55)
Symmetry-distinct sites (fractional):
Ti: 0.0000 0.0000 0.0000
Ti: 0.1312 0.2643 0.0000
Ti: 0.1655 0.6079 0.5000
Tc: 0.0000 0.5000 0.0000
Mo: 0.1539 0.8630 0.5000

=====

Q: What is the spin magnetization in the sixth record?
A: 0.00 μB per formula unit